Entry from the Alexandria database: a relaxed structure of KLiLu2Mo4O16 (GGA+U).

Size of the total moment ... 0.00 μB per formula unit
Total energy ... -7.14 eV per atom
Calculated density ... 5.3 g/cm3

Cell lengths 5.199, 12.608, 19.786 Å; angles 90.00, 94.48, 90.00 degrees
Space group C2/c (No. 15)
Asymmetric unit:
K1 0.000 0.031 0.250
Li1 0.000 0.313 0.250
Lu1 0.003 0.146 0.470
Mo1 0.017 0.256 0.643
Mo2 0.024 0.438 0.091
O1 0.100 0.410 0.330
O2 0.122 0.135 0.833
O3 0.172 0.333 0.039
O4 0.194 0.237 0.565
O5 0.228 0.448 0.598
O6 0.230 0.296 0.712
O7 0.233 0.021 0.537
O8 0.247 0.154 0.126